*P*
Compound: YHoTmMg
Source: the Alexandria database
Functional: PBE
Structure: optimized geometry

Values from the calculation:
DOS at the Fermi energy in states/eV/cell: 4.5
SG: F-43m, No. 216

Cell lengths 5.4734, 5.4734, 5.4734 Å; angles 60.00, 60.00, 60.00 degrees
Fractional positions:
Ho  0.2500  0.2500  0.2500
Tm  0.5000  0.5000  0.5000
Mg  0.0000  0.0000  0.0000
Y  0.7500  0.7500  0.7500



*Q*
Compound: YHoTmMg
Source: the Alexandria database
Functional: PBE
Structure: optimized geometry

Values from the calculation:
DOS at the Fermi energy in states/eV/cell: 5.2
SG: P4mm, No. 99

Cell lengths 3.5596, 3.5596, 9.2406 Å; angles 90.00, 90.00, 90.00 degrees
Fractional positions:
Tm  0.5000  0.5000  0.3343
Mg  0.0000  0.0000  0.5681
Y  0.5000  0.5000  0.8076
Ho  0.0000  0.0000  0.0748



Stability ranking, top and bottom: *Q* is the most stable and *P* is the least stable.



*P*
Compound: HoTmMgZr
Source: the Alexandria database
Functional: PBE
Structure: optimized geometry

Values from the calculation:
DOS at the Fermi energy in states/eV/cell: 5.9
SG: F-43m, No. 216

Cell lengths 5.3153, 5.3153, 5.3153 Å; angles 60.00, 60.00, 60.00 degrees
Fractional positions:
Zr  0.0000  0.0000  0.0000
Ho  0.7500  0.7500  0.7500
Mg  0.5000  0.5000  0.5000
Tm  0.2500  0.2500  0.2500



*Q*
Compound: HoTmMgZr
Source: the Alexandria database
Functional: PBE
Structure: optimized geometry

Values from the calculation:
DOS at the Fermi energy in states/eV/cell: 4.8
SG: P4mm, No. 99

Cell lengths 3.4071, 3.4071, 9.2369 Å; angles 90.00, 90.00, 90.00 degrees
Fractional positions:
Tm  0.5000  0.5000  0.3154
Mg  0.0000  0.0000  0.5692
Ho  0.5000  0.5000  0.8269
Zr  0.0000  0.0000  0.0732



Stability ranking, top and bottom: *Q* is the most stable and *P* is the least stable.



*P*
Compound: YHo2Mg
Source: the Alexandria database
Functional: PBE
Structure: optimized geometry

Values from the calculation:
DOS at the Fermi energy in states/eV/cell: 4.7
SG: R-3m, No. 166

Cell lengths 3.5196, 3.5196, 11.3236 Å; angles 81.06, 81.06, 60.00 degrees
Fractional positions:
Ho  0.2531  0.2531  0.2408
Ho  0.7469  0.7469  0.7592
Mg  0.0000  0.0000  0.0000
Y  0.5000  0.5000  0.5000



*Q*
Compound: YHo2Mg
Source: the Alexandria database
Functional: PBE
Structure: optimized geometry

Values from the calculation:
DOS at the Fermi energy in states/eV/cell: 5.9
SG: R3m, No. 160

Cell lengths 3.4922, 3.4922, 11.5146 Å; angles 81.28, 81.28, 60.00 degrees
Fractional positions:
Mg  0.5000  0.5000  0.5000
Ho  0.2484  0.2484  0.2547
Ho  0.0847  0.0847  0.7458
Y  0.6668  0.6668  0.9995



*R*
Compound: YHo2Mg
Source: the Alexandria database
Functional: PBE
Structure: optimized geometry

Values from the calculation:
DOS at the Fermi energy in states/eV/cell: 12.7
SG: C2/m, No. 12

Cell lengths 3.4285, 6.6615, 11.0756 Å; angles 94.39, 90.00, 104.91 degrees
Fractional positions:
Y  0.3680  0.7360  0.4977
Y  0.6320  0.2640  0.5023
Ho  0.2399  0.4797  0.7565
Ho  0.4883  0.9767  0.2168
Ho  0.5117  0.0233  0.7832
Ho  0.7601  0.5203  0.2435
Mg  0.8679  0.7359  0.9866
Mg  0.1321  0.2641  0.0134



Stability ranking, top and bottom: *P* is the most stable and *R* is the least stable.



*P*
Compound: YHo2Mg
Source: the Alexandria database
Functional: PBE
Structure: optimized geometry

Values from the calculation:
DOS at the Fermi energy in states/eV/cell: 5.5
SG: P4/mmm, No. 123

Cell lengths 3.5884, 3.5884, 9.1765 Å; angles 90.00, 90.00, 90.00 degrees
Fractional positions:
Ho  0.0000  0.0000  0.2326
Ho  0.0000  0.0000  0.7674
Mg  0.5000  0.5000  0.0000
Y  0.5000  0.5000  0.5000



*Q*
Compound: YHo2Mg
Source: the Alexandria database
Functional: PBE
Structure: optimized geometry

Values from the calculation:
DOS at the Fermi energy in states/eV/cell: 8.6
SG: C2/m, No. 12

Cell lengths 5.0479, 5.0479, 9.9181 Å; angles 104.67, 104.67, 90.09 degrees
Fractional positions:
Ho  0.8689  0.8689  0.2378
Ho  0.0000  0.5000  0.5000
Ho  0.1311  0.1311  0.7622
Ho  0.5000  0.0000  0.5000
Y  0.3677  0.3677  0.2355
Y  0.6323  0.6323  0.7645
Mg  0.7500  0.2500  0.0000
Mg  0.2500  0.7500  0.0000



*R*
Compound: YHo2Mg
Source: the Alexandria database
Functional: PBE
Structure: optimized geometry

Values from the calculation:
DOS at the Fermi energy in states/eV/cell: 7.7
SG: P4/mmm, No. 123

Cell lengths 4.9245, 4.8883, 4.8883 Å; angles 90.00, 90.00, 90.00 degrees
Fractional positions:
Mg  0.5000  0.5000  0.5000
Y  0.5000  0.0000  0.0000
Ho  0.0000  0.5000  0.0000
Ho  0.0000  0.0000  0.5000



*S*
Compound: YHo2Mg
Source: the Alexandria database
Functional: PBE
Structure: optimized geometry

Values from the calculation:
DOS at the Fermi energy in states/eV/cell: 5.0
SG: Fm-3m, No. 225

Cell lengths 5.4938, 5.4938, 5.4938 Å; angles 60.00, 60.00, 60.00 degrees
Fractional positions:
Y  0.5000  0.5000  0.5000
Mg  0.0000  0.0000  0.0000
Ho  0.2500  0.2500  0.2500
Ho  0.7500  0.7500  0.7500



Stability ranking, top and bottom: *Q* is the most stable and *S* is the least stable.